An optimized crystal structure of YNp2Ir9, computed with GGA-PBE.

Calculated values
Space-group type: No. 166
DOS at the Fermi energy, states/eV per atom: 1.71

The structure in POSCAR format:
```
YNp2Ir9
1.0
-1.2243 -2.4974 4.4945
-0.5943 -5.2519 0.0277
7.9353 -3.5403 3.3022
Y Np Ir
1 2 9
Direct
0.0000 0.0000 0.0000 Y
0.8596 0.8596 0.4212 Np
0.1404 0.1404 0.5788 Np
0.6669 0.6669 0.9994 Ir
0.3331 0.3331 0.0006 Ir
0.5000 0.5000 0.5000 Ir
0.4155 0.4155 0.2499 Ir
0.9191 0.4155 0.2499 Ir
0.4155 0.9191 0.2499 Ir
0.5845 0.5845 0.7501 Ir
0.5845 0.0809 0.7501 Ir
0.0809 0.5845 0.7501 Ir
```

---

An optimized crystal structure of CaNdCuNi, computed with GGA-PBE.

Calculated values
Space-group type: No. 38
DOS at the Fermi energy, states/eV per atom: 0.71

The structure in POSCAR format:
```
CaNdCuNi
1.0
4.0026 0.0000 0.0000
0.0000 4.1418 0.0000
-2.0013 0.0000 5.5073
Ca Nd Cu Ni
1 1 1 1
Direct
0.1426 0.0000 0.2853 Ca
0.8630 0.5000 0.7260 Nd
0.5632 0.5000 0.1263 Cu
0.4312 0.0000 0.8624 Ni
```

---

Asked for calculated formation energy across the records above, the calculation gives -0.40; -0.20 eV per atom in order.